(1)
Computed, not measured: a relaxed SrBeB crystal at the GGA-PBE level of DFT.

It has space group C2/m (No. 12), with a = 5.565 Å, b = 4.877 Å, c = 8.652 Å, α = 90.00°, β = 91.44° and γ = 90.00°. The asymmetric unit holds Sr at (0.248, 0.000, 0.293), Be at (0.179, 0.500, 0.046) and B at (0.000, 0.164, 0.000).

(2)
Computed, not measured: a relaxed SrBeB crystal at the GGA-PBE level of DFT.

It has space group C2/m (No. 12), with a = 9.668 Å, b = 4.370 Å, c = 5.768 Å, α = 90.00°, β = 119.15° and γ = 90.00°. The asymmetric unit holds Sr at (0.095, 0.000, 0.330), Be at (0.250, 0.250, 0.000) and B at (0.089, 0.500, 0.005).

Let's list E above lowest polymorph in order: 0.027, 0.170 eV/atom.
Let's list calculated formation energy in order: -0.03, 0.40 eV per formula unit.